Computed, not measured: a relaxed CsTmCdTe3 crystal at the GGA-PBE level of DFT.

## Properties
E_tot	-3.682	eV/atom

Cell: 4.4915 17.1610 11.7739 Å, 90.00 90.00 90.00°
Closest atoms and distances in Å follow each position.
Space group Cmcm (No. 63)
One atom of each set of equivalent atoms:
Cs1 0.0000 0.2486 0.2500 x4  8 Te 3.90-4.12, 2 Cd 4.24
Tm1 0.0000 0.0000 0.0000 x4  6 Te 3.10-3.15
Cd1 0.0000 0.4610 0.7500 x4  4 Te 2.81-2.87
Te1 0.0000 0.0655 0.7500 x4  2 Cd 2.87, 2 Tm 3.15
Te2 0.0000 0.3793 0.5431 x8  1 Cd 2.81, 2 Tm 3.10